# 1
## Tl2CuSi (meta-GGA SCAN)

Data for a crystal of Tl2CuSi relaxed with PBEsol.

Cell and atoms, written as CIF:
```
data_Tl2CuSi
_space_group_name_H-M_alt 'P 1'
_space_group_IT_number 1
_cell_length_a 5.055
_cell_length_b 5.055
_cell_length_c 6.414
_cell_angle_alpha 90.00
_cell_angle_beta 90.00
_cell_angle_gamma 90.00
loop_
_space_group_symop_operation_xyz
'x,y,z'
loop_
_atom_site_label
_atom_site_type_symbol
_atom_site_fract_x
_atom_site_fract_y
_atom_site_fract_z
Tl1 Tl 0.000 0.500 0.250
Tl2 Tl 0.000 0.500 0.750
Tl3 Tl 0.500 0.000 0.250
Tl4 Tl 0.500 0.000 0.750
Cu1 Cu 0.000 0.000 0.000
Cu2 Cu 0.500 0.500 0.500
Si1 Si 0.000 0.000 0.500
Si2 Si 0.500 0.500 0.000
```

Formation energy from raw total energies   250 kJ/mol of formula units
V   163.9 Å³ per cell
Size of the total moment   0.000 μB per formula unit
Calculated total energy   -334.686 eV/cell



# 2
## Cd2P (meta-GGA SCAN)

Data for a crystal of Cd2P relaxed with PBEsol.

Cell and atoms, written as CIF:
```
data_Cd2P
_space_group_name_H-M_alt 'P 1'
_space_group_IT_number 1
_cell_length_a 4.885
_cell_length_b 4.885
_cell_length_c 5.641
_cell_angle_alpha 90.00
_cell_angle_beta 90.00
_cell_angle_gamma 120.00
loop_
_space_group_symop_operation_xyz
'x,y,z'
loop_
_atom_site_label
_atom_site_type_symbol
_atom_site_fract_x
_atom_site_fract_y
_atom_site_fract_z
Cd1 Cd 0.000 0.000 0.000
Cd2 Cd 0.000 0.000 0.500
Cd3 Cd 0.333 0.667 0.250
Cd4 Cd 0.667 0.333 0.750
P1 P 0.333 0.667 0.750
P2 P 0.667 0.333 0.250
```

V   116.6 Å³ per cell
Size of the total moment   0.000 μB per formula unit
Calculated total energy   -140.978 eV/cell
DFT formation energy   246 meV/atom



# 3
## CoRe2Si (meta-GGA SCAN)

Data for a crystal of CoRe2Si relaxed with PBEsol.

Cell and atoms, written as CIF:
```
data_CoRe2Si
_space_group_name_H-M_alt 'P 1'
_space_group_IT_number 1
_cell_length_a 2.719
_cell_length_b 2.719
_cell_length_c 24.337
_cell_angle_alpha 90.00
_cell_angle_beta 90.00
_cell_angle_gamma 120.00
loop_
_space_group_symop_operation_xyz
'x,y,z'
loop_
_atom_site_label
_atom_site_type_symbol
_atom_site_fract_x
_atom_site_fract_y
_atom_site_fract_z
Co1 Co 0.000 0.000 0.000
Co2 Co 0.333 0.667 0.667
Co3 Co 0.667 0.333 0.333
Re1 Re 0.000 0.000 0.247
Re2 Re 0.000 0.000 0.491
Re3 Re 0.333 0.667 0.158
Re4 Re 0.333 0.667 0.913
Re5 Re 0.667 0.333 0.580
Re6 Re 0.667 0.333 0.824
Si1 Si 0.000 0.000 0.738
Si2 Si 0.333 0.667 0.405
Si3 Si 0.667 0.333 0.071
```

Formation energy from raw total energies   10 kJ/mol of formula units
V   155.8 Å³ per cell
Size of the total moment   0.573 μB per formula unit
Calculated total energy   -508.219 eV/cell



# 4
## Li3V5O12 (meta-GGA SCAN)

Data for a crystal of Li3V5O12 relaxed with PBEsol.

Cell and atoms, written as CIF:
```
data_Li3V5O12
_space_group_name_H-M_alt 'P 1'
_space_group_IT_number 1
_cell_length_a 6.660
_cell_length_b 6.660
_cell_length_c 5.540
_cell_angle_alpha 106.62
_cell_angle_beta 106.62
_cell_angle_gamma 76.10
loop_
_space_group_symop_operation_xyz
'x,y,z'
loop_
_atom_site_label
_atom_site_type_symbol
_atom_site_fract_x
_atom_site_fract_y
_atom_site_fract_z
Li1 Li 0.000 0.000 0.000
Li2 Li 0.369 0.631 0.000
Li3 Li 0.796 0.204 0.500
V1 V 0.159 0.841 0.500
V2 V 0.255 0.295 0.449
V3 V 0.464 0.091 0.974
V4 V 0.705 0.745 0.551
V5 V 0.909 0.536 0.026
O1 O 0.069 0.302 0.077
O2 O 0.082 0.717 0.122
O3 O 0.083 0.122 0.433
O4 O 0.178 0.566 0.543
O5 O 0.283 0.918 0.878
O6 O 0.407 0.282 0.796
O7 O 0.434 0.822 0.457
O8 O 0.495 0.214 0.306
O9 O 0.698 0.931 0.923
O10 O 0.718 0.593 0.204
O11 O 0.786 0.505 0.694
O12 O 0.878 0.917 0.567
```

Formation energy from raw total energies   -4974 kJ/mol of formula units
V   222.2 Å³ per cell
Size of the total moment   4.000 μB per formula unit
Calculated total energy   -220.934 eV/cell



# 5
## RbZn2InMo (meta-GGA SCAN)

Data for a crystal of RbZn2InMo relaxed with PBEsol.

Cell and atoms, written as CIF:
```
data_RbZn2InMo
_space_group_name_H-M_alt 'P 1'
_space_group_IT_number 1
_cell_length_a 5.033
_cell_length_b 5.033
_cell_length_c 5.258
_cell_angle_alpha 90.00
_cell_angle_beta 90.00
_cell_angle_gamma 90.00
loop_
_space_group_symop_operation_xyz
'x,y,z'
loop_
_atom_site_label
_atom_site_type_symbol
_atom_site_fract_x
_atom_site_fract_y
_atom_site_fract_z
Rb1 Rb 0.000 0.000 0.000
Zn1 Zn 0.000 0.500 0.500
Zn2 Zn 0.500 0.000 0.500
In1 In 0.500 0.500 0.000
Mo1 Mo 0.500 0.500 0.500
```

V   133.2 Å³ per cell
Size of the total moment   1.704 μB per formula unit
Calculated total energy   -113.496 eV/cell
DFT formation energy   509 meV/atom



# 6
## Li2YMn (meta-GGA SCAN)

Data for a crystal of Li2YMn relaxed with PBEsol.

Cell and atoms, written as CIF:
```
data_Li2YMn
_space_group_name_H-M_alt 'P 1'
_space_group_IT_number 1
_cell_length_a 3.596
_cell_length_b 4.876
_cell_length_c 8.785
_cell_angle_alpha 90.00
_cell_angle_beta 90.00
_cell_angle_gamma 90.00
loop_
_space_group_symop_operation_xyz
'x,y,z'
loop_
_atom_site_label
_atom_site_type_symbol
_atom_site_fract_x
_atom_site_fract_y
_atom_site_fract_z
Li1 Li 0.000 0.000 0.000
Li2 Li 0.000 0.500 0.275
Li3 Li 0.500 0.000 0.775
Li4 Li 0.500 0.500 0.500
Y1 Y 0.000 0.500 0.778
Y2 Y 0.500 0.000 0.278
Mn1 Mn 0.000 0.000 0.542
Mn2 Mn 0.500 0.500 0.042
```

V   154.0 Å³ per cell
Size of the total moment   3.725 μB per formula unit
Calculated total energy   -100.458 eV/cell
DFT formation energy   162 meV/atom



# 7
## TaZn2 (meta-GGA SCAN)

Data for a crystal of TaZn2 relaxed with PBEsol.

Cell and atoms, written as CIF:
```
data_TaZn2
_space_group_name_H-M_alt 'P 1'
_space_group_IT_number 1
_cell_length_a 12.386
_cell_length_b 12.386
_cell_length_c 12.386
_cell_angle_alpha 162.10
_cell_angle_beta 162.10
_cell_angle_gamma 25.41
loop_
_space_group_symop_operation_xyz
'x,y,z'
loop_
_atom_site_label
_atom_site_type_symbol
_atom_site_fract_x
_atom_site_fract_y
_atom_site_fract_z
Ta1 Ta 0.293 0.543 0.750
Ta2 Ta 0.457 0.707 0.750
Ta3 Ta 0.543 0.293 0.250
Ta4 Ta 0.707 0.457 0.250
Zn1 Zn 0.041 0.791 0.250
Zn2 Zn 0.124 0.374 0.750
Zn3 Zn 0.209 0.959 0.250
Zn4 Zn 0.374 0.124 0.250
Zn5 Zn 0.626 0.876 0.750
Zn6 Zn 0.791 0.041 0.750
Zn7 Zn 0.876 0.626 0.250
Zn8 Zn 0.959 0.209 0.750
```

V   179.4 Å³ per cell
Size of the total moment   0.000 μB per formula unit
Calculated total energy   -375.614 eV/cell
DFT formation energy   -97 meV/atom



# 8
## FeRuSe2 (meta-GGA SCAN)

Data for a crystal of FeRuSe2 relaxed with PBEsol.

Cell and atoms, written as CIF:
```
data_FeRuSe2
_space_group_name_H-M_alt 'P 1'
_space_group_IT_number 1
_cell_length_a 3.496
_cell_length_b 3.694
_cell_length_c 11.654
_cell_angle_alpha 90.00
_cell_angle_beta 90.00
_cell_angle_gamma 90.00
loop_
_space_group_symop_operation_xyz
'x,y,z'
loop_
_atom_site_label
_atom_site_type_symbol
_atom_site_fract_x
_atom_site_fract_y
_atom_site_fract_z
Fe1 Fe 0.000 0.000 0.000
Fe2 Fe 0.500 0.500 0.500
Ru1 Ru 0.000 0.000 0.500
Ru2 Ru 0.500 0.500 0.000
Se1 Se 0.000 0.500 0.357
Se2 Se 0.000 0.500 0.643
Se3 Se 0.500 0.000 0.143
Se4 Se 0.500 0.000 0.857
```

Formation energy from raw total energies   -56 kJ/mol of formula units
V   150.5 Å³ per cell
Size of the total moment   3.106 μB per formula unit
Calculated total energy   -187.376 eV/cell



# 9
## ZrZnCu (meta-GGA SCAN)

Data for a crystal of ZrZnCu relaxed with PBEsol.

Cell and atoms, written as CIF:
```
data_ZrZnCu
_space_group_name_H-M_alt 'P 1'
_space_group_IT_number 1
_cell_length_a 4.356
_cell_length_b 4.356
_cell_length_c 2.814
_cell_angle_alpha 90.00
_cell_angle_beta 90.00
_cell_angle_gamma 120.00
loop_
_space_group_symop_operation_xyz
'x,y,z'
loop_
_atom_site_label
_atom_site_type_symbol
_atom_site_fract_x
_atom_site_fract_y
_atom_site_fract_z
Zr1 Zr 0.000 0.000 0.000
Zn1 Zn 0.667 0.333 0.500
Cu1 Cu 0.333 0.667 0.500
```

V   46.2 Å³ per cell
Size of the total moment   0.030 μB per formula unit
Calculated total energy   -60.257 eV/cell
DFT formation energy   -281 meV/atom



# 10
## RbInS3 (meta-GGA SCAN)

Data for a crystal of RbInS3 relaxed with PBEsol.

Cell and atoms, written as CIF:
```
data_RbInS3
_space_group_name_H-M_alt 'P 1'
_space_group_IT_number 1
_cell_length_a 5.758
_cell_length_b 5.758
_cell_length_c 5.758
_cell_angle_alpha 90.00
_cell_angle_beta 90.00
_cell_angle_gamma 90.00
loop_
_space_group_symop_operation_xyz
'x,y,z'
loop_
_atom_site_label
_atom_site_type_symbol
_atom_site_fract_x
_atom_site_fract_y
_atom_site_fract_z
Rb1 Rb 0.000 0.000 0.000
In1 In 0.500 0.500 0.500
S1 S 0.000 0.000 0.500
S2 S 0.000 0.500 0.000
S3 S 0.500 0.000 0.000
```

Formation energy from raw total energies   424 kJ/mol of formula units
V   190.9 Å³ per cell
Size of the total moment   4.000 μB per formula unit
Calculated total energy   -78.615 eV/cell



# 11
## NaLi2NbC (meta-GGA SCAN)

Data for a crystal of NaLi2NbC relaxed with PBEsol.

Cell and atoms, written as CIF:
```
data_NaLi2NbC
_space_group_name_H-M_alt 'P 1'
_space_group_IT_number 1
_cell_length_a 5.354
_cell_length_b 5.354
_cell_length_c 6.064
_cell_angle_alpha 90.00
_cell_angle_beta 90.00
_cell_angle_gamma 90.00
loop_
_space_group_symop_operation_xyz
'x,y,z'
loop_
_atom_site_label
_atom_site_type_symbol
_atom_site_fract_x
_atom_site_fract_y
_atom_site_fract_z
Na1 Na 0.000 0.000 0.000
Li1 Li 0.000 0.500 0.500
Li2 Li 0.500 0.000 0.500
Nb1 Nb 0.000 0.000 0.500
C1 C 0.500 0.500 0.000
```

V   173.8 Å³ per cell
Size of the total moment   8.085 μB per formula unit
Calculated total energy   -40.444 eV/cell
DFT formation energy   2356 meV/atom



# 12
## BiSbOs3 (meta-GGA SCAN)

Data for a crystal of BiSbOs3 relaxed with PBEsol.

Cell and atoms, written as CIF:
```
data_BiSbOs3
_space_group_name_H-M_alt 'P 1'
_space_group_IT_number 1
_cell_length_a 4.913
_cell_length_b 4.913
_cell_length_c 4.913
_cell_angle_alpha 90.00
_cell_angle_beta 90.00
_cell_angle_gamma 90.00
loop_
_space_group_symop_operation_xyz
'x,y,z'
loop_
_atom_site_label
_atom_site_type_symbol
_atom_site_fract_x
_atom_site_fract_y
_atom_site_fract_z
Bi1 Bi 0.000 0.000 0.000
Sb1 Sb 0.500 0.500 0.500
Os1 Os 0.000 0.000 0.500
Os2 Os 0.000 0.500 0.000
Os3 Os 0.500 0.000 0.000
```

Formation energy from raw total energies   1445 kJ/mol of formula units
V   118.6 Å³ per cell
Size of the total moment   0.003 μB per formula unit
Calculated total energy   -316.502 eV/cell



Q: Which formula does entry 4 have?
A: Li3V5O12